(one)
Here is an optimized crystal structure of NiBi2Br from Alexandria via LeMat-Bulk. Energies are from PBE.

abc: 4.071 4.071 7.822
angles: 74.92 74.92 60.00
Fractional positions:
Bi  0.724  0.724  0.829
Bi  0.276  0.276  0.171
Ni  0.000  0.000  0.000
Br  0.500  0.500  0.500

* space group: No. 166
* D(E_F): 1.86 states/eV per cell
* theoretical density: 8.6 g/cm3

=====

(two)
Here is an optimized crystal structure of NiBi2Br from Alexandria via LeMat-Bulk. Energies are from PBE.

abc: 5.128 5.128 5.128
angles: 60.00 60.00 60.00
Fractional positions:
Bi  0.750  0.750  0.750
Bi  0.250  0.250  0.250
Ni  0.000  0.000  0.000
Br  0.500  0.500  0.500

* space group: No. 225
* D(E_F): 4.23 states/eV per cell
* theoretical density: 9.7 g/cm3

=====

Taking the most stable structure as the zero point, the relative energies in eV/atom are (one) 0.000; (two) 0.559.